Record 1
Density functional theory data (PBE) for a relaxed structure of ReSBr2.

Results
The calculation puts the formation energy (no corrections) at 0.8716 eV per atom.

Unit cell a=10.5020 b=10.5020 c=10.5020 alpha=17.25 beta=17.25 gamma=17.25
Last column: nearest neighbours and their distance in Å.
Element x y z (fractional)
Re 0.5000 0.5000 0.5000  6 Br 2.62
Br 0.8940 0.8940 0.8940  3 Re 2.62
Br 0.1060 0.1060 0.1060  3 Re 2.62
S 0.0000 0.0000 0.0000  6 S 3.15, 2 Br 3.29

***

Record 2
Density functional theory data (PBE) for a relaxed structure of Mg4FeAu.

Results
The value obtained for the formation energy from the elements is 0.354 eV per atom.

Unit cell a=5.4819 b=5.4819 c=5.4819 alpha=60.00 beta=60.00 gamma=60.00
Last column: nearest neighbours and their distance in Å.
Element x y z (fractional)
Fe 0.0000 0.0000 0.0000  12 Mg 3.21, 4 Au 3.36
Mg 0.8761 0.3746 0.3746  6 Mg 2.73-2.75
Mg 0.3746 0.3746 0.8761  6 Mg 2.73-2.75
Mg 0.3746 0.3746 0.3746  6 Mg 2.73-2.75
Mg 0.3746 0.8761 0.3746  6 Mg 2.73-2.75
Au 0.7500 0.7500 0.7500  12 Mg 3.21, 4 Fe 3.36

***

Record 3
Density functional theory data (PBE) for a relaxed structure of PbW2Br.

Results
The calculation puts the formation energy (no corrections) at 1.4796 eV per atom.

Unit cell a=3.3783 b=3.3783 c=6.6070 alpha=90.00 beta=90.00 gamma=90.00
Last column: nearest neighbours and their distance in Å.
Element x y z (fractional)
Br 0.5000 0.5000 0.2500  8 W 2.76
W 0.0000 0.0000 0.4578  1 W 2.75, 4 Br 2.76, 4 Pb 3.07
W 0.0000 0.0000 0.0422  1 W 2.75, 4 Br 2.76, 4 Pb 3.07
Pb 0.5000 0.5000 0.7500  8 W 3.07, 2 Br 3.30, 4 Pb 3.38

***

Record 4
Density functional theory data (PBE) for a relaxed structure of SmY4Tm8.

Results
The value obtained for the formation energy from the elements is 0.215 eV per atom.

Unit cell a=7.2709 b=7.2709 c=9.8265 alpha=90.00 beta=111.71 gamma=120.00
Last column: nearest neighbours and their distance in Å.
Element x y z (fractional)
Tm 0.0598 0.2500 0.3098  1 Sm 2.89, 2 Tm 3.20
Tm 0.5000 0.7500 0.6902  1 Sm 2.89, 2 Tm 3.20
Tm 0.0598 0.8098 0.3098  1 Sm 2.89, 2 Tm 3.20
Tm 0.9402 0.7500 0.6902  1 Sm 2.89, 2 Tm 3.20
Tm 0.5000 0.2500 0.3098  1 Sm 2.89, 2 Tm 3.20
Tm 0.9402 0.1902 0.6902  1 Sm 2.89, 2 Tm 3.20
Tm 0.4368 0.2184 0.6553  9 Tm 3.58-3.66, 3 Y 3.71
Tm 0.5632 0.7816 0.3447  9 Tm 3.58-3.66, 3 Y 3.71
Sm 0.0000 0.5000 0.5000  6 Tm 2.89
Y 0.5000 0.0000 0.0000  6 Tm 3.55-3.71, 6 Y 3.64
Y 0.0000 0.5000 0.0000  6 Tm 3.55-3.71, 6 Y 3.64
Y 0.0000 0.0000 0.0000  6 Tm 3.32, 6 Y 3.64
Y 0.5000 0.5000 0.0000  6 Tm 3.55-3.71, 6 Y 3.64

***

Record 5
Density functional theory data (PBE) for a relaxed structure of Hg2TePt.

Results
The calculation puts the formation energy (no corrections) at 0.2724 eV per atom.

Unit cell a=5.2258 b=5.2258 c=5.2258 alpha=126.94 beta=126.94 gamma=78.35
Last column: nearest neighbours and their distance in Å.
Element x y z (fractional)
Pt 0.5000 0.5000 0.0000  8 Hg 3.09-3.30, 4 Te 3.09
Hg 0.0000 0.0000 0.0000  4 Te 3.09, 4 Hg 3.09, 4 Pt 3.30
Hg 0.2500 0.7500 0.5000  4 Hg 3.09, 4 Pt 3.09, 4 Te 3.30
Te 0.7500 0.2500 0.5000  8 Hg 3.09-3.30, 4 Pt 3.09

***

Record 6
Density functional theory data (PBE) for a relaxed structure of Ca3Hg2Bi3.

Results
The value obtained for the formation energy from the elements is -0.525 eV per atom.

Unit cell a=4.4973 b=6.4988 c=18.1729 alpha=90.00 beta=90.00 gamma=110.24
Last column: nearest neighbours and their distance in Å.
Element x y z (fractional)
Bi 0.6270 0.2539 0.4867  1 Bi 3.13, 3 Hg 3.23-3.26, 2 Ca 3.45
Bi 0.6270 0.2539 0.0133  1 Bi 3.13, 3 Hg 3.23-3.26, 2 Ca 3.45
Bi 0.4187 0.8375 0.2500  7 Ca 3.28-3.60, 2 Hg 3.33
Bi 0.3730 0.7461 0.9867  1 Bi 3.13, 3 Hg 3.23-3.26, 2 Ca 3.45
Bi 0.3730 0.7461 0.5133  1 Bi 3.13, 3 Hg 3.23-3.26, 2 Ca 3.45
Bi 0.5813 0.1625 0.7500  7 Ca 3.28-3.60, 2 Hg 3.33
Hg 0.7856 0.5712 0.8711  3 Ca 3.12-3.16, 4 Bi 3.23-3.33
Hg 0.7856 0.5712 0.6289  3 Ca 3.12-3.16, 4 Bi 3.23-3.33
Hg 0.2144 0.4288 0.3711  3 Ca 3.12-3.16, 4 Bi 3.23-3.33
Hg 0.2144 0.4288 0.1289  3 Ca 3.12-3.16, 4 Bi 3.23-3.33
Ca 0.3119 0.6239 0.7500  4 Hg 3.16, 1 Bi 3.28
Ca 0.0414 0.0828 0.8811  1 Hg 3.12, 4 Bi 3.31-3.45
Ca 0.9586 0.9172 0.1189  1 Hg 3.12, 4 Bi 3.31-3.45
Ca 0.6881 0.3761 0.2500  4 Hg 3.16, 1 Bi 3.28
Ca 0.0414 0.0828 0.6189  1 Hg 3.12, 4 Bi 3.31-3.45
Ca 0.9586 0.9172 0.3811  1 Hg 3.12, 4 Bi 3.31-3.45

***

Record 7
Density functional theory data (PBE) for a relaxed structure of Ca6Hg5Pb.

Results
The value obtained for the formation energy from the elements is -0.567 eV per atom.

Unit cell a=5.3509 b=7.7540 c=9.3106 alpha=114.61 beta=106.70 gamma=90.01
Last column: nearest neighbours and their distance in Å.
Element x y z (fractional)
Hg 0.3351 0.3351 0.6703  8 Ca 3.25-3.32
Hg 0.6661 0.1661 0.3321  8 Ca 3.28-3.33
Hg 0.3339 0.8339 0.6679  8 Ca 3.28-3.33
Hg 0.0000 0.5000 0.0000  8 Ca 3.27-3.31
Hg 0.6649 0.6649 0.3297  8 Ca 3.25-3.32
Ca 0.1682 0.9152 0.3364  7 Hg 3.28-3.32, 1 Pb 3.34
Ca 0.8318 0.0848 0.6636  7 Hg 3.28-3.32, 1 Pb 3.34
Ca 0.5000 0.2567 0.0000  6 Hg 3.25-3.33, 2 Pb 3.33
Ca 0.8318 0.5788 0.6636  7 Hg 3.28-3.32, 1 Pb 3.34
Ca 0.5000 0.7433 0.0000  6 Hg 3.25-3.33, 2 Pb 3.33
Ca 0.1682 0.4212 0.3364  7 Hg 3.28-3.32, 1 Pb 3.34
Pb 0.0000 0.0000 0.0000  8 Ca 3.33-3.34

***

Record 8
Density functional theory data (PBE) for a relaxed structure of Hf3Zn2Ga2.

Results
The value obtained for the formation energy from the elements is -0.369 eV per atom.

Unit cell a=4.2011 b=3.2351 c=9.5762 alpha=99.72 beta=102.67 gamma=90.00
Last column: nearest neighbours and their distance in Å.
Element x y z (fractional)
Ga 0.8588 0.3588 0.7175  2 Zn 2.51
Ga 0.1412 0.6412 0.2825  2 Zn 2.51
Hf 0.0000 0.0000 0.0000  8 Zn 2.92, 4 Ga 3.06, 2 Hf 3.24
Hf 0.2984 0.7984 0.5968  5 Ga 2.87-2.89, 2 Zn 2.97, 4 Hf 3.19
Hf 0.7016 0.2016 0.4032  5 Ga 2.87-2.89, 2 Zn 2.97, 4 Hf 3.19
Zn 0.4337 0.4337 0.8675  1 Zn 2.44, 2 Ga 2.51
Zn 0.5663 0.5663 0.1325  1 Zn 2.44, 2 Ga 2.51

***

Record 9
Density functional theory data (PBE) for a relaxed structure of Ac2PrSm5.

Results
The value obtained for the formation energy from the elements is 0.033 eV per atom.

Unit cell a=5.2936 b=7.4342 c=14.8774 alpha=90.00 beta=90.00 gamma=90.00
Last column: nearest neighbours and their distance in Å.
Element x y z (fractional)
Sm 0.0000 0.0015 0.7507  7 Sm 3.71-3.73, 4 Ac 3.72-3.73, 1 Pr 3.73
Sm 0.0000 0.9985 0.2493  7 Sm 3.71-3.73, 4 Ac 3.72-3.73, 1 Pr 3.73
Sm 0.5000 0.2490 0.3746  4 Ac 3.71-3.73, 6 Sm 3.72-3.74, 2 Pr 3.73
Sm 0.0000 0.5000 0.5000  6 Sm 3.71-3.74, 2 Pr 3.72, 4 Ac 3.73
Sm 0.0000 0.4985 0.2507  7 Sm 3.71-3.73, 4 Ac 3.72-3.73, 1 Pr 3.73
Sm 0.5000 0.7490 0.1254  4 Ac 3.71-3.73, 6 Sm 3.72-3.74, 2 Pr 3.73
Sm 0.5000 0.7510 0.6254  4 Ac 3.71-3.73, 6 Sm 3.72-3.74, 2 Pr 3.73
Sm 0.5000 0.2510 0.8746  4 Ac 3.71-3.73, 6 Sm 3.72-3.74, 2 Pr 3.73
Sm 0.0000 0.0000 0.0000  6 Sm 3.71-3.74, 2 Pr 3.72, 4 Ac 3.73
Sm 0.0000 0.5015 0.7493  7 Sm 3.71-3.73, 4 Ac 3.72-3.73, 1 Pr 3.73
Ac 0.5000 0.7515 0.8745  10 Sm 3.71-3.73, 2 Pr 3.74
Ac 0.5000 0.7485 0.3745  10 Sm 3.71-3.73, 2 Pr 3.74
Ac 0.5000 0.2485 0.1255  10 Sm 3.71-3.73, 2 Pr 3.74
Ac 0.5000 0.2515 0.6255  10 Sm 3.71-3.73, 2 Pr 3.74
Pr 0.0000 0.0000 0.5000  8 Sm 3.72-3.73, 4 Ac 3.74
Pr 0.0000 0.5000 0.0000  8 Sm 3.72-3.73, 4 Ac 3.74

***

Record 10
Density functional theory data (PBE) for a relaxed structure of In7Ga5.

Results
The value obtained for the formation energy from the elements is 0.049 eV per atom.

Unit cell a=3.6330 b=8.1701 c=9.7142 alpha=90.00 beta=90.00 gamma=90.00
Last column: nearest neighbours and their distance in Å.
Element x y z (fractional)
Ga 0.0000 0.4683 0.5000  4 Ga 2.94, 6 In 3.24-3.28
Ga 0.0000 0.0240 0.8062  7 In 2.97-3.26, 2 Ga 3.00
Ga 0.0000 0.0240 0.1938  7 In 2.97-3.26, 2 Ga 3.00
Ga 0.5000 0.2555 0.6560  5 Ga 2.94-3.03, 4 In 3.05-3.12
Ga 0.5000 0.2555 0.3440  5 Ga 2.94-3.03, 4 In 3.05-3.12
In 0.5000 0.7923 0.0000  4 Ga 3.23, 7 In 3.31-3.51
In 0.0000 0.0189 0.5000  6 Ga 2.97-3.05, 4 In 3.31
In 0.0000 0.4830 0.8329  3 Ga 3.12-3.24, 5 In 3.24-3.28
In 0.5000 0.2142 0.0000  6 Ga 3.04-3.36, 4 In 3.28
In 0.5000 0.7406 0.6624  6 In 3.16-3.31, 4 Ga 3.26-3.28
In 0.0000 0.4830 0.1671  3 Ga 3.12-3.24, 5 In 3.24-3.28
In 0.5000 0.7406 0.3376  6 In 3.16-3.31, 4 Ga 3.26-3.28

***

Record 11
Density functional theory data (PBE) for a relaxed structure of Pm7Pr4Dy.

Results
The value obtained for the formation energy from the elements is 0.213 eV per atom.

Unit cell a=6.0817 b=8.7638 c=9.8794 alpha=60.85 beta=72.07 gamma=69.70
Last column: nearest neighbours and their distance in Å.
Element x y z (fractional)
Pm 0.0742 0.5565 0.2951  1 Pr 3.35, 1 Dy 3.52, 4 Pm 3.56-3.74
Pm 0.5000 0.0000 0.0000  2 Dy 3.04, 2 Pr 3.11
Pm 0.8298 0.9503 0.3902  6 Pr 3.30-3.64, 1 Dy 3.51
Pm 0.9258 0.4435 0.7049  1 Pr 3.35, 1 Dy 3.52, 4 Pm 3.56-3.74
Pm 0.2845 0.5516 0.8794  4 Pr 3.34-3.72, 4 Pm 3.67-3.74
Pm 0.7155 0.4484 0.1206  4 Pr 3.34-3.72, 4 Pm 3.67-3.74
Pm 0.1702 0.0497 0.6098  6 Pr 3.30-3.64, 1 Dy 3.51
Pr 0.5831 0.2771 0.5566  2 Pr 3.35-3.50, 4 Pm 3.49-3.72
Pr 0.7072 0.8105 0.7751  4 Pm 3.11-3.35
Pr 0.4169 0.7229 0.4434  2 Pr 3.35-3.50, 4 Pm 3.49-3.72
Pr 0.2928 0.1895 0.2249  4 Pm 3.11-3.35
Dy 0.0000 0.0000 0.0000  2 Pm 3.04

***

Record 12
Density functional theory data (PBE) for a relaxed structure of Ba2NpPtS6.

Results
The calculation puts the formation energy (no corrections) at -1.2830 eV per atom.

Unit cell a=6.6407 b=6.6407 c=7.4313 alpha=116.51 beta=116.60 gamma=90.00
Last column: nearest neighbours and their distance in Å.
Element x y z (fractional)
S 0.8314 0.3091 0.9997  1 Pt 2.34, 1 Np 2.54
S 0.2787 0.2798 0.5572  1 Np 2.55
S 0.1684 0.6917 0.9999  1 Pt 2.34, 1 Np 2.54
S 0.3083 0.1684 0.9989  1 Pt 2.34, 1 Np 2.54
S 0.6915 0.8324 0.0006  1 Pt 2.34, 1 Np 2.54
S 0.7211 0.7209 0.4423  1 Np 2.55
Ba 0.7498 0.2501 0.4998  8 S 3.33-3.34
Ba 0.2500 0.7507 0.4998  8 S 3.33-3.34
Np 0.4999 0.5004 0.9998  6 S 2.54-2.55
Pt 0.9999 0.0004 0.9998  4 S 2.34

***

Record order is preserved below.
Raw total energy: -4.1088 -2.6661 -6.3423 -4.8891 -2.1741 -2.8066 -2.0025 -5.8633 -4.5410 -2.8096 -4.5348 -6.0421 eV/atom